1.
VASP calculation (PBE) on an optimized crystal structure of InGe3Rh.

Summary:
The relative energy among the computed polymorphs comes out at 0.0 meV per atom. The value obtained for the size of the total moment is 0.00 Bohr magnetons per cell.

Geometry as CIF:
```
data_InGe3Rh
_symmetry_space_group_name_H-M 'P 1'
_symmetry_Int_Tables_number 1
_symmetry_space_group_name_Hall 'P 1'
_cell_length_a 4.849
_cell_length_b 4.849
_cell_length_c 4.849
_cell_angle_alpha 90.00
_cell_angle_beta 90.00
_cell_angle_gamma 90.00
loop_
_atom_site_label
_atom_site_fract_x
_atom_site_fract_y
_atom_site_fract_z
Ge1 0.000 0.000 0.500
Ge2 0.500 0.000 0.000
Ge3 0.000 0.500 0.000
In1 0.500 0.500 0.500
Rh1 0.000 0.000 0.000
```

2.
VASP calculation (PBE) on an optimized crystal structure of BaLi2TbGe2.

Summary:
The value obtained for the size of the total moment is 0.00 Bohr magnetons per cell. The calculation puts the total energy at -3.831 eV/atom.

Geometry as CIF:
```
data_BaLi2TbGe2
_symmetry_space_group_name_H-M 'P 1'
_symmetry_Int_Tables_number 1
_symmetry_space_group_name_Hall 'P 1'
_cell_length_a 4.612
_cell_length_b 4.612
_cell_length_c 8.040
_cell_angle_alpha 90.00
_cell_angle_beta 90.00
_cell_angle_gamma 120.00
loop_
_atom_site_label
_atom_site_fract_x
_atom_site_fract_y
_atom_site_fract_z
Ge1 0.667 0.333 0.695
Ge2 0.333 0.667 0.305
Ba1 0.000 0.000 0.000
Li1 0.333 0.667 0.681
Li2 0.667 0.333 0.319
Tb1 0.000 0.000 0.500
```

3.
VASP calculation (PBE) on an optimized crystal structure of DyTe3O8.

Summary:
The value obtained for the size of the total moment is 0.00 Bohr magnetons per cell. The calculation puts the total energy at -6.009 eV/atom.

Geometry as CIF:
```
data_DyTe3O8
_symmetry_space_group_name_H-M 'P 1'
_symmetry_Int_Tables_number 1
_symmetry_space_group_name_Hall 'P 1'
_cell_length_a 6.877
_cell_length_b 6.877
_cell_length_c 10.535
_cell_angle_alpha 66.10
_cell_angle_beta 66.10
_cell_angle_gamma 48.35
loop_
_atom_site_label
_atom_site_fract_x
_atom_site_fract_y
_atom_site_fract_z
O1 0.846 0.321 0.830
O2 0.570 0.785 0.085
O3 0.860 0.364 0.367
O4 0.154 0.679 0.170
O5 0.005 0.784 0.905
O6 0.636 0.140 0.133
O7 0.140 0.636 0.633
O8 0.364 0.860 0.867
O9 0.995 0.216 0.095
O10 0.784 0.005 0.405
O11 0.321 0.846 0.330
O12 0.785 0.570 0.585
O13 0.215 0.430 0.415
O14 0.430 0.215 0.915
O15 0.679 0.154 0.670
O16 0.216 0.995 0.595
Te1 0.307 0.132 0.143
Te2 0.000 0.000 0.500
Te3 0.132 0.307 0.643
Te4 0.693 0.868 0.857
Te5 0.000 0.000 0.000
Te6 0.868 0.693 0.357
Dy1 0.562 0.438 0.250
Dy2 0.438 0.562 0.750
```

4.
VASP calculation (PBE) on an optimized crystal structure of CdSbTe2.

Summary:
The relative energy among the computed polymorphs comes out at 190.8 meV per atom. The value obtained for the size of the total moment is 0.00 Bohr magnetons per cell.

Geometry as CIF:
```
data_CdSbTe2
_symmetry_space_group_name_H-M 'P 1'
_symmetry_Int_Tables_number 1
_symmetry_space_group_name_Hall 'P 1'
_cell_length_a 6.898
_cell_length_b 6.898
_cell_length_c 6.898
_cell_angle_alpha 139.64
_cell_angle_beta 143.57
_cell_angle_gamma 55.49
loop_
_atom_site_label
_atom_site_fract_x
_atom_site_fract_y
_atom_site_fract_z
Te1 0.078 0.078 0.000
Te2 0.422 0.422 0.000
Sb1 0.250 0.750 0.500
Cd1 0.750 0.250 0.500
```

5.
VASP calculation (PBE) on an optimized crystal structure of AcNbO6.

Summary:
The value obtained for the size of the total moment is 4.00 Bohr magnetons per cell. The calculation puts the total energy at -7.079 eV/atom.

Geometry as CIF:
```
data_AcNbO6
_symmetry_space_group_name_H-M 'P 1'
_symmetry_Int_Tables_number 1
_symmetry_space_group_name_Hall 'P 1'
_cell_length_a 6.353
_cell_length_b 6.353
_cell_length_c 6.353
_cell_angle_alpha 60.00
_cell_angle_beta 60.00
_cell_angle_gamma 60.00
loop_
_atom_site_label
_atom_site_fract_x
_atom_site_fract_y
_atom_site_fract_z
O1 0.222 0.778 0.778
O2 0.222 0.778 0.222
O3 0.222 0.222 0.778
O4 0.778 0.222 0.222
O5 0.778 0.778 0.222
O6 0.778 0.222 0.778
Nb1 0.000 0.000 0.000
Ac1 0.500 0.500 0.500
```

6.
VASP calculation (PBE) on an optimized crystal structure of La3NdSn3.

Summary:
The value obtained for the size of the total moment is 0.00 Bohr magnetons per cell. The calculation puts the total energy at -5.014 eV/atom.

Geometry as CIF:
```
data_La3NdSn3
_symmetry_space_group_name_H-M 'P 1'
_symmetry_Int_Tables_number 1
_symmetry_space_group_name_Hall 'P 1'
_cell_length_a 6.383
_cell_length_b 9.790
_cell_length_c 9.790
_cell_angle_alpha 120.00
_cell_angle_beta 90.00
_cell_angle_gamma 90.00
loop_
_atom_site_label
_atom_site_fract_x
_atom_site_fract_y
_atom_site_fract_z
La1 0.250 0.681 0.698
La2 0.750 0.698 0.016
La3 0.250 0.302 0.984
La4 0.750 0.984 0.681
La5 0.750 0.319 0.302
La6 0.250 0.016 0.319
Nd1 0.750 0.333 0.667
Nd2 0.250 0.667 0.333
Sn1 0.250 0.004 0.647
Sn2 0.750 0.647 0.643
Sn3 0.250 0.643 0.996
Sn4 0.250 0.353 0.357
Sn5 0.750 0.996 0.353
Sn6 0.750 0.357 0.004
```

7.
VASP calculation (PBE) on an optimized crystal structure of Ac3PrTh2N6.

Summary:
The value obtained for the size of the total moment is 0.00 Bohr magnetons per cell. The calculation puts the total energy at -8.147 eV/atom.

Geometry as CIF:
```
data_Ac3PrTh2N6
_symmetry_space_group_name_H-M 'P 1'
_symmetry_Int_Tables_number 1
_symmetry_space_group_name_Hall 'P 1'
_cell_length_a 6.525
_cell_length_b 6.525
_cell_length_c 6.593
_cell_angle_alpha 99.48
_cell_angle_beta 99.48
_cell_angle_gamma 119.97
loop_
_atom_site_label
_atom_site_fract_x
_atom_site_fract_y
_atom_site_fract_z
Ac1 0.500 0.500 0.500
Ac2 0.835 0.165 0.500
Ac3 0.165 0.835 0.500
N1 0.579 0.925 0.776
N2 0.421 0.075 0.224
N3 0.075 0.421 0.224
N4 0.726 0.726 0.220
N5 0.925 0.579 0.776
N6 0.274 0.274 0.780
Th1 0.333 0.667 0.000
Th2 0.667 0.333 0.000
Pr1 0.000 0.000 0.000
```

8.
VASP calculation (PBE) on an optimized crystal structure of TlSbO2.

Summary:
The relative energy among the computed polymorphs comes out at 409.5 meV per atom. The value obtained for the size of the total moment is 0.00 Bohr magnetons per cell.

Geometry as CIF:
```
data_TlSbO2
_symmetry_space_group_name_H-M 'P 1'
_symmetry_Int_Tables_number 1
_symmetry_space_group_name_Hall 'P 1'
_cell_length_a 7.191
_cell_length_b 7.191
_cell_length_c 7.191
_cell_angle_alpha 28.06
_cell_angle_beta 28.06
_cell_angle_gamma 28.06
loop_
_atom_site_label
_atom_site_fract_x
_atom_site_fract_y
_atom_site_fract_z
O1 0.895 0.895 0.895
O2 0.105 0.105 0.105
Sb1 0.000 0.000 0.000
Tl1 0.500 0.500 0.500
```

9.
VASP calculation (PBE) on an optimized crystal structure of Dy2HoCu.

Summary:
The relative energy among the computed polymorphs comes out at 140.3 meV per atom. The value obtained for the size of the total moment is 0.35 Bohr magnetons per cell.

Geometry as CIF:
```
data_Dy2HoCu
_symmetry_space_group_name_H-M 'P 1'
_symmetry_Int_Tables_number 1
_symmetry_space_group_name_Hall 'P 1'
_cell_length_a 3.623
_cell_length_b 3.623
_cell_length_c 9.912
_cell_angle_alpha 79.47
_cell_angle_beta 79.47
_cell_angle_gamma 60.00
loop_
_atom_site_label
_atom_site_fract_x
_atom_site_fract_y
_atom_site_fract_z
Dy1 0.265 0.265 0.204
Dy2 0.068 0.068 0.796
Ho1 0.500 0.500 0.499
Cu1 0.666 0.666 0.001
```

10.
VASP calculation (PBE) on an optimized crystal structure of KNi2Pt.

Summary:
The relative energy among the computed polymorphs comes out at 413.8 meV per atom. The value obtained for the size of the total moment is 0.96 Bohr magnetons per cell.

Geometry as CIF:
```
data_KNi2Pt
_symmetry_space_group_name_H-M 'P 1'
_symmetry_Int_Tables_number 1
_symmetry_space_group_name_Hall 'P 1'
_cell_length_a 4.512
_cell_length_b 4.512
_cell_length_c 4.512
_cell_angle_alpha 60.00
_cell_angle_beta 60.00
_cell_angle_gamma 60.00
loop_
_atom_site_label
_atom_site_fract_x
_atom_site_fract_y
_atom_site_fract_z
Ni1 0.250 0.250 0.250
Ni2 0.750 0.750 0.750
Pt1 0.500 0.500 0.500
K1 0.000 0.000 0.000
```

11.
VASP calculation (PBE) on an optimized crystal structure of DyTmHgOs.

Summary:
The relative energy among the computed polymorphs comes out at 0.0 meV per atom. The value obtained for the size of the total moment is 0.00 Bohr magnetons per cell.

Geometry as CIF:
```
data_DyTmHgOs
_symmetry_space_group_name_H-M 'P 1'
_symmetry_Int_Tables_number 1
_symmetry_space_group_name_Hall 'P 1'
_cell_length_a 3.433
_cell_length_b 3.433
_cell_length_c 7.585
_cell_angle_alpha 90.00
_cell_angle_beta 90.00
_cell_angle_gamma 90.00
loop_
_atom_site_label
_atom_site_fract_x
_atom_site_fract_y
_atom_site_fract_z
Os1 0.000 0.000 0.567
Tm1 0.500 0.500 0.353
Dy1 0.500 0.500 0.788
Hg1 0.000 0.000 0.076
```

12.
VASP calculation (PBE) on an optimized crystal structure of PmGa4PtRh2.

Summary:
The value obtained for the size of the total moment is 0.00 Bohr magnetons per cell. The calculation puts the total energy at -5.371 eV/atom.

Geometry as CIF:
```
data_PmGa4PtRh2
_symmetry_space_group_name_H-M 'P 1'
_symmetry_Int_Tables_number 1
_symmetry_space_group_name_Hall 'P 1'
_cell_length_a 4.275
_cell_length_b 4.275
_cell_length_c 9.139
_cell_angle_alpha 76.47
_cell_angle_beta 76.47
_cell_angle_gamma 60.00
loop_
_atom_site_label
_atom_site_fract_x
_atom_site_fract_y
_atom_site_fract_z
Pm1 0.000 0.000 0.000
Ga1 0.601 0.601 0.198
Ga2 0.399 0.399 0.802
Ga3 0.129 0.129 0.614
Ga4 0.871 0.871 0.386
Pt1 0.500 0.500 0.500
Rh1 0.769 0.769 0.694
Rh2 0.231 0.231 0.306
```